ZnCuSi2O6: PBEsol geometry, SCAN.

a = 5.266 Å, b = 6.765 Å, c = 6.765 Å
α = 86.67°, β = 73.77°, γ = 73.77°
Each line ends with the local moment (μB).
Atoms (fractional coordinates):
O  0.516  0.675  0.616  0.01
O  0.373  0.383  0.863  0.03
O  0.873  0.863  0.383  0.03
O  0.484  0.325  0.384  0.01
O  0.984  0.384  0.325  0.01
O  0.868  0.208  0.033  0.08
Si  0.259  0.612  0.783  0.00
Cu  0.750  0.895  0.105  0.75
Si  0.741  0.388  0.217  0.00
O  0.368  0.033  0.208  0.08
Cu  0.250  0.105  0.895  0.75
Zn  0.250  0.768  0.232  0.00
O  0.016  0.616  0.675  0.01
Si  0.241  0.217  0.388  0.00
O  0.132  0.792  0.967  0.08
O  0.632  0.967  0.792  0.08
O  0.127  0.137  0.617  0.03
O  0.627  0.617  0.137  0.03
Zn  0.750  0.232  0.768  0.00
Si  0.759  0.783  0.612  0.00

Results
Energy relative to the elements, uncorrected (eV/atom): -2.275
Space-group type: C2/c
Energy above the most stable polymorph in this dataset (meV per atom): 4